Entry 1:
A relaxed RbIn12Hg6 crystal. Source: the Alexandria database, functional GGA-PBE.

Cell: 9.257 9.257 9.257 Å, 109.31 109.31 109.31°
Element x y z (fractional)
Hg 0.164 0.164 0.477
In 0.494 0.494 0.168
In 0.844 0.500 0.156
Hg 0.836 0.836 0.523
In 0.506 0.832 0.506
In 0.844 0.156 0.500
In 0.156 0.500 0.844
In 0.500 0.156 0.844
Hg 0.164 0.477 0.164
Hg 0.523 0.836 0.836
In 0.832 0.506 0.506
In 0.500 0.844 0.156
In 0.506 0.506 0.832
In 0.494 0.168 0.494
In 0.168 0.494 0.494
In 0.156 0.844 0.500
Rb 0.000 0.000 0.000
Hg 0.477 0.164 0.164
Hg 0.836 0.523 0.836

**Energy relative to the lowest polymorph listed for this composition**: 30 meV/atom

Entry 2:
A relaxed Rb12InHg7 crystal. Source: the Alexandria database, functional GGA-PBE.

Cell: 11.548 11.548 11.548 Å, 110.59 110.59 110.59°
Element x y z (fractional)
Rb 0.745 0.895 0.350
Rb 0.681 0.598 0.889
In 0.000 0.000 0.000
Rb 0.889 0.681 0.598
Rb 0.598 0.889 0.681
Rb 0.895 0.350 0.745
Hg 0.987 0.079 0.762
Hg 0.921 0.238 0.013
Rb 0.350 0.745 0.895
Hg 0.762 0.987 0.079
Rb 0.650 0.255 0.105
Rb 0.402 0.111 0.319
Rb 0.105 0.650 0.255
Hg 0.079 0.762 0.987
Rb 0.255 0.105 0.650
Hg 0.500 0.500 0.500
Hg 0.013 0.921 0.238
Hg 0.238 0.013 0.921
Rb 0.319 0.402 0.111
Rb 0.111 0.319 0.402

Entry 3:
A relaxed Rb2InHg2 crystal. Source: the Alexandria database, functional GGA-PBE.

Cell: 5.263 7.246 11.506 Å, 87.92 76.78 68.71°
Element x y z (fractional)
Hg 0.915 0.723 0.448
Rb 0.920 0.278 0.882
Hg 0.620 0.881 0.879
Hg 0.380 0.119 0.121
Hg 0.085 0.277 0.552
Rb 0.334 0.657 0.675
In 0.651 0.077 0.621
Rb 0.666 0.343 0.325
Rb 0.080 0.722 0.118
In 0.349 0.923 0.379

**Energy relative to the lowest polymorph listed for this composition**: 10 meV/atom

Entry 4:
A relaxed RbIn2Hg10 crystal. Source: the Alexandria database, functional GGA-PBE.

Cell: 6.399 8.581 8.139 Å, 81.57 66.85 68.11°
Element x y z (fractional)
Hg 0.498 0.779 0.225
In 0.500 0.500 0.000
In 0.000 0.500 0.000
Hg 0.999 0.646 0.356
Rb 0.000 0.000 0.000
Hg 0.277 0.221 0.225
Hg 0.645 0.354 0.356
Hg 0.502 0.221 0.775
Hg 0.355 0.646 0.644
Hg 0.000 0.000 0.500
Hg 0.723 0.779 0.775
Hg 0.500 0.000 0.500
Hg 0.001 0.354 0.644

| no. | energy of formation from the pure elements (eV per atom) | electronic total energy (Ry/atom) |
| --- | --- | --- |
| 1 | 0.039 | -0.1350 |
| 2 | -0.155 | -0.0719 |
| 3 | -0.185 | -0.0912 |
| 4 | -0.061 | -0.0580 |